Entry from Alexandria via LeMat-Bulk: a relaxed RbBi2PPb crystal (GGA-PBE).

abc: 5.5004 5.9697 5.5004
angles: 90.00 90.00 90.00
Closest atoms and distances in Å follow each position.
Fractional coordinates of all 5 atoms:
Rb  0.0000  0.5000  0.0000  2 P 2.98
Bi  0.5000  0.0000  0.0000  2 P 2.75
Bi  0.0000  0.0000  0.5000  2 P 2.75
Pb  0.5000  0.5000  0.5000  4 Rb 3.89, 8 Bi 4.06
P  0.0000  0.0000  0.0000  4 Bi 2.75, 2 Rb 2.98

Values from the calculation:
The calculation puts the energy of formation at 299 meV/atom.